This record from Alexandria describes a relaxed structure of ZnCdTc2. The functional is PBE-GGA.

Cell and atoms, written as CIF:
```
data_ZnCdTc2
_cell_length_a 2.6911
_cell_length_b 4.5518
_cell_length_c 5.3013
_cell_angle_alpha 90.00
_cell_angle_beta 102.56
_cell_angle_gamma 90.00
_symmetry_space_group_name_H-M 'P 1 2/m 1'
_symmetry_Int_Tables_number 10
loop_
_symmetry_equiv_pos_as_xyz
'x,y,z'
'-x,-y,-z'
'-x,y,-z'
'x,-y,z'
loop_
_atom_site_label
_atom_site_fract_x
_atom_site_fract_y
_atom_site_fract_z
Zn1 0.0000 0.0000 0.0000
Cd1 0.5000 0.0000 0.5000
Tc1 0.2470 0.5000 0.7667
```

* energy of formation: 372 meV/atom